# SnBiIO2

An optimized crystal structure of SnBiIO2 (GGA-PBE, Alexandria via LeMat-Bulk).

```
SnBiIO2
1.0
-1.016 -3.075 -2.780
4.071 -0.201 -1.266
1.187 -4.488 4.529
I O Bi Sn
1 2 1 1
Direct
0.000 0.000 0.500
0.500 0.000 0.000
0.000 0.500 0.000
0.500 0.500 0.500
0.000 0.000 0.000
```

Formation energy (no corrections)   -0.17 eV per atom
Crystal system   tetragonal
Space-group type   No. 123
Size of the total moment   1.0 Bohr magnetons per cell
E_tot   -4.042 eV per atom